A | Here is a relaxed structure of MnCr2B2 from Alexandria via LeMat-Bulk. Energies are from PBE.

POSCAR file:
```
MnCr2B2
1.0
-0.0180 -2.4308 -3.2067
-2.8120 -2.5934 1.9817
-2.7806 4.1825 -3.1549
B Cr Mn
4 4 2
Cartesian
-3.0500 -2.9644 -1.5228 B
-3.7626 1.0142 -2.0100 B
-1.8480 -1.8559 -2.3699 B
-2.5606 2.1227 -2.8571 B
-2.0995 -1.4294 -0.1670 Cr
-1.7585 0.6013 -1.7083 Cr
-3.8521 -1.4430 -2.6716 Cr
-3.5110 0.5877 -4.2129 Cr
0.0000 0.0000 0.0000 Mn
-0.0090 -1.2154 -1.6033 Mn
```

- Crystal system: orthorhombic



B | Here is a relaxed structure of MnCr2B2 from Alexandria via LeMat-Bulk. Energies are from PBE.

POSCAR file:
```
MnCr2B2
1.0
-0.0696 -3.2152 4.4956
-0.3982 -4.4813 -3.2112
2.8719 -0.1898 -0.0913
Mn B Cr
2 4 4
Cartesian
-0.2339 -3.8482 0.6422 Mn
0.0000 0.0000 0.0000 Mn
-0.0891 -2.5013 2.3969 B
-0.3787 -5.1952 -1.1125 B
-0.3069 -5.6029 1.9951 B
-0.1609 -2.0936 -0.7107 B
1.2489 -4.2076 2.6202 Cr
1.3438 -1.9234 0.8572 Cr
1.1552 -3.6787 -1.4271 Cr
1.0603 -5.9628 0.3359 Cr
```

- Crystal system: tetragonal



B wins, 468 meV/atom ahead of the next structure.



A | Here is a relaxed structure of MnCrB from Alexandria via LeMat-Bulk. Energies are from PBE.

POSCAR file:
```
MnCrB
1.0
-1.3669 2.5193 -0.5718
-3.2148 -1.9891 -1.0788
-0.7805 -1.5658 5.2132
Cr Mn B
2 2 2
Cartesian
-1.6781 1.5172 2.2035 Cr
-2.8953 1.3056 -0.9425 Cr
-2.5582 -0.5246 1.4277 Mn
-1.3411 -0.3130 4.5737 Mn
-0.4440 0.1492 1.0479 B
-2.4416 -1.6283 3.1152 B
```

- Crystal system: monoclinic



B | Here is a relaxed structure of MnCrB from Alexandria via LeMat-Bulk. Energies are from PBE.

POSCAR file:
```
MnCrB
1.0
2.7191 0.0000 0.0000
0.0000 2.7191 0.0000
-1.3596 -1.3596 3.7399
Mn Cr B
1 1 1
Cartesian
1.3596 1.3596 3.2337 Mn
1.3596 1.3596 0.9451 Cr
0.0000 0.0000 2.1790 B
```

- Crystal system: tetragonal



B wins, 102 meV/atom ahead of the next structure.



A | Here is a relaxed structure of CrB3Mo from Alexandria via LeMat-Bulk. Energies are from PBE.

POSCAR file:
```
CrB3Mo
1.0
-0.6594 -2.3199 3.1962
3.8729 -1.0147 0.0626
0.7737 3.1018 2.4110
Cr B Mo
1 3 1
Cartesian
1.9936 -0.1164 2.8349 Cr
1.9364 -0.5073 0.0313 B
-0.3297 -1.1599 1.5981 B
0.3868 1.5509 1.2055 B
0.0000 0.0000 0.0000 Mo
```

- Crystal system: cubic



B | Here is a relaxed structure of CrB3Mo from Alexandria via LeMat-Bulk. Energies are from PBE.

POSCAR file:
```
CrB3Mo
1.0
-3.0809 1.9171 -0.8979
-1.8996 -1.8036 2.6669
0.9345 2.6543 2.4607
B Mo Cr
3 1 1
Cartesian
0.4673 1.3271 1.2303 B
-1.5404 0.9586 -0.4490 B
-0.9498 -0.9018 1.3334 B
-2.0230 1.3839 2.1148 Mo
0.0000 0.0000 0.0000 Cr
```

- Crystal system: cubic



B wins, 644 meV/atom ahead of the next structure.



A | Here is a relaxed structure of CrB2Mo from Alexandria via LeMat-Bulk. Energies are from PBE.

POSCAR file:
```
CrB2Mo
1.0
3.0750 0.0000 0.0000
1.5375 2.6630 0.0000
1.5375 0.8877 4.9312
Mo B Cr
1 2 1
Cartesian
3.0750 1.7753 2.4656 Mo
1.5375 0.8877 1.1406 B
4.6125 2.6630 3.7907 B
0.0000 0.0000 0.0000 Cr
```

- Crystal system: trigonal



B | Here is a relaxed structure of CrB2Mo from Alexandria via LeMat-Bulk. Energies are from PBE.

POSCAR file:
```
CrB2Mo
1.0
-2.9035 -0.7488 0.1166
0.8515 -2.4194 5.6686
-1.7471 7.3000 3.3781
Mo Cr B
4 4 8
Cartesian
-1.2713 2.8143 5.7255 Mo
-1.6528 -1.7688 5.4037 Mo
-2.5277 1.3174 3.4378 Mo
-2.1462 5.9005 3.7596 Mo
-0.4988 -0.5795 3.1653 Cr
-3.2307 3.8513 2.2060 Cr
-0.5684 0.2804 6.9573 Cr
-3.3002 4.7112 5.9980 Cr
-0.8942 0.7010 1.5424 B
-2.9048 3.4307 7.6209 B
-0.7288 0.5791 4.8801 B
-2.1109 -0.5575 1.7738 B
-1.6881 4.6893 7.3895 B
-2.2694 0.6738 5.7377 B
-1.5296 3.4579 3.4256 B
-3.0702 3.5526 4.2832 B
```

- Crystal system: orthorhombic



B wins, 212 meV/atom ahead of the next structure.



A | Here is a relaxed structure of CrB2Mo from Alexandria via LeMat-Bulk. Energies are from PBE.

POSCAR file:
```
CrB2Mo
1.0
-3.2166 0.4939 1.9679
-1.1708 3.5096 0.8802
-3.0669 1.4652 -1.7059
B Cr Mo
2 1 1
Cartesian
-5.5907 4.1016 0.8567 B
-1.8636 1.3672 0.2856 B
0.0000 0.0000 0.0000 Cr
-3.7271 2.7344 0.5711 Mo
```

- Crystal system: cubic



B | Here is a relaxed structure of CrB2Mo from Alexandria via LeMat-Bulk. Energies are from PBE.

POSCAR file:
```
CrB2Mo
1.0
4.6485 0.0000 0.0000
0.0000 4.6485 0.0000
2.3242 2.3242 4.7833
Mo B Cr
2 4 2
Cartesian
0.0000 0.0000 0.0000 Mo
4.6485 2.3242 2.3917 Mo
5.8106 5.7055 3.5875 B
3.3812 1.1621 1.1958 B
1.2673 3.4864 1.1958 B
3.4864 3.5915 3.5875 B
2.3242 4.6485 2.3917 Cr
2.3242 2.3242 0.0000 Cr
```

- Crystal system: tetragonal



C | Here is a relaxed structure of CrB2Mo from Alexandria via LeMat-Bulk. Energies are from PBE.

POSCAR file:
```
CrB2Mo
1.0
-1.0496 -3.8488 1.8317
0.1214 1.8679 -3.9706
2.8352 -0.9431 -0.3570
Cr B Mo
1 2 1
Cartesian
0.5327 -3.5162 0.8370 Cr
0.8872 -1.7857 -0.9193 B
-0.3882 -0.6200 -1.4454 B
-0.0529 1.0171 -3.1071 Mo
```

- Crystal system: orthorhombic



C wins, 712 meV/atom ahead of the next structure.



A | Here is a relaxed structure of Cr3BMo from Alexandria via LeMat-Bulk. Energies are from PBE.

POSCAR file:
```
Cr3BMo
1.0
-1.0222 -3.5687 2.3499
0.2135 -2.4558 -3.6367
4.2675 -0.7319 0.7448
Cr B Mo
3 1 1
Cartesian
0.1067 -1.2279 -1.8183 Cr
-0.5111 -1.7843 1.1749 Cr
2.1338 -0.3660 0.3724 Cr
1.7294 -3.3782 -0.2710 B
0.0000 0.0000 0.0000 Mo
```

- Crystal system: cubic



B | Here is a relaxed structure of Cr3BMo from Alexandria via LeMat-Bulk. Energies are from PBE.

POSCAR file:
```
Cr3BMo
1.0
3.9098 0.0000 0.0000
0.0000 3.9098 0.0000
0.0000 0.0000 3.9098
Cr Mo B
3 1 1
Cartesian
1.9549 0.0000 0.0000 Cr
0.0000 1.9549 0.0000 Cr
0.0000 0.0000 1.9549 Cr
1.9549 1.9549 1.9549 Mo
0.0000 0.0000 0.0000 B
```

- Crystal system: cubic



B wins, 2244 meV/atom ahead of the next structure.



A | Here is a relaxed structure of Cr3B4Mo3 from Alexandria via LeMat-Bulk. Energies are from PBE.

POSCAR file:
```
Cr3B4Mo3
1.0
4.1566 -4.1610 0.0000
4.1566 4.1610 0.0000
0.0000 0.0000 3.0002
Mo B Cr
3 4 3
Cartesian
2.0851 2.0377 0.0000 Mo
5.5966 0.0000 1.5001 Mo
2.0851 -2.0377 0.0000 Mo
4.1192 0.9627 0.0000 B
0.9325 0.0000 0.0000 B
4.1192 -0.9627 0.0000 B
7.4265 0.0000 0.0000 B
4.1612 2.7607 1.5001 Cr
4.1612 -2.7607 1.5001 Cr
2.7228 0.0000 1.5001 Cr
```

- Crystal system: orthorhombic



B | Here is a relaxed structure of Cr3B4Mo3 from Alexandria via LeMat-Bulk. Energies are from PBE.

POSCAR file:
```
Cr3B4Mo3
1.0
3.0788 0.0000 0.0000
0.0000 5.7741 -0.0109
0.0000 0.0399 5.7740
Mo B Cr
3 4 3
Cartesian
1.5394 3.9312 3.9208 Mo
1.5394 4.7731 0.9990 Mo
1.5394 1.8587 1.8665 Mo
0.0000 2.2004 3.5944 B
0.0000 0.6902 0.5976 B
0.0000 5.2103 5.0781 B
0.0000 3.5594 2.2234 B
0.0000 0.0316 2.9150 Cr
1.5394 1.0491 4.7558 Cr
0.0000 2.8988 5.7571 Cr
```

- Crystal system: orthorhombic



B wins, 123 meV/atom ahead of the next structure.



A | Here is a relaxed structure of CrB3N from Alexandria via LeMat-Bulk. Energies are from PBE.

POSCAR file:
```
CrB3N
1.0
-1.7655 -2.0973 2.8208
-1.8750 -2.1082 -2.7409
2.9732 -2.5748 -0.0535
B N Cr
3 1 1
Cartesian
1.4866 -1.2874 -0.0267 B
-0.8827 -1.0486 1.4104 B
-0.9375 -1.0541 -1.3704 B
-0.3336 -3.3901 0.0132 N
0.0000 0.0000 0.0000 Cr
```

- Crystal system: cubic



B | Here is a relaxed structure of CrB3N from Alexandria via LeMat-Bulk. Energies are from PBE.

POSCAR file:
```
CrB3N
1.0
-2.5630 -1.7326 1.3013
-0.1019 -1.9169 -2.7530
2.1644 -2.1418 1.4113
Cr B N
1 3 1
Cartesian
-0.2502 -2.8957 -0.0202 Cr
-1.2815 -0.8663 0.6506 B
-0.0510 -0.9585 -1.3765 B
1.0822 -1.0709 0.7056 B
0.0000 0.0000 0.0000 N
```

- Crystal system: cubic



B wins, 926 meV/atom ahead of the next structure.



A | Here is a relaxed structure of CrBSN2 from Alexandria via LeMat-Bulk. Energies are from PBE.

POSCAR file:
```
CrBSN2
1.0
-0.7853 1.2784 -3.2101
-1.2999 -3.1594 -0.9402
-4.5116 1.3659 1.6477
N Cr B S
2 1 1 1
Cartesian
-0.3927 0.6392 -1.6050 N
-0.6499 -1.5797 -0.4701 N
0.0000 0.0000 0.0000 Cr
-3.2984 -0.2576 -1.2513 B
-2.2558 0.6829 0.8238 S
```

- Crystal system: tetragonal



B | Here is a relaxed structure of CrBSN2 from Alexandria via LeMat-Bulk. Energies are from PBE.

POSCAR file:
```
CrBSN2
1.0
-2.2214 -0.2958 -2.1812
0.4275 -3.0979 -0.0152
-4.4735 -0.6400 4.6427
N Cr B S
2 1 1 1
Cartesian
0.2137 -1.5489 -0.0076 N
-1.1107 -0.1479 -1.0906 N
-3.1337 -2.0169 1.2231 Cr
0.0000 0.0000 0.0000 B
-2.2367 -0.3200 2.3213 S
```

- Crystal system: tetragonal



B wins, 119 meV/atom ahead of the next structure.



A | Here is a relaxed structure of CrBS2N from Alexandria via LeMat-Bulk. Energies are from PBE.

POSCAR file:
```
CrBS2N
1.0
-4.1557 -0.5536 2.6919
-1.7380 -3.2509 -3.3517
1.1571 -2.0298 1.3688
S B N Cr
2 1 1 1
Cartesian
-2.0778 -0.2768 1.3460 S
-0.8690 -1.6254 -1.6758 S
0.0000 0.0000 0.0000 B
0.5785 -1.0149 0.6844 N
-2.3683 -2.9172 0.3545 Cr
```

- Crystal system: tetragonal



B | Here is a relaxed structure of CrBS2N from Alexandria via LeMat-Bulk. Energies are from PBE.

POSCAR file:
```
CrBS2N
1.0
4.6076 0.0000 0.0000
0.0000 4.6076 0.0000
0.0000 0.0000 3.4791
N Cr B S
1 1 1 2
Cartesian
0.0000 0.0000 1.7395 N
0.0000 0.0000 0.0000 Cr
2.3038 2.3038 1.7395 B
0.0000 2.3038 0.0000 S
2.3038 0.0000 0.0000 S
```

- Crystal system: tetragonal



A wins, 627 meV/atom ahead of the next structure.



A | Here is a relaxed structure of CrTcBN2 from Alexandria via LeMat-Bulk. Energies are from PBE.

POSCAR file:
```
CrTcBN2
1.0
-3.1795 1.1647 0.1000
-1.3155 -3.7371 1.6993
0.5458 1.2228 3.1117
B N Tc Cr
1 2 1 1
Cartesian
0.0000 0.0000 0.0000 B
0.2729 0.6114 1.5558 N
-1.5898 0.5823 0.0500 N
-0.6577 -1.8685 0.8497 Tc
-1.9746 -0.6748 2.4555 Cr
```

- Crystal system: tetragonal



B | Here is a relaxed structure of CrTcBN2 from Alexandria via LeMat-Bulk. Energies are from PBE.

POSCAR file:
```
CrTcBN2
1.0
-2.7815 0.6861 1.9364
-3.2293 -1.8805 -3.9725
0.1680 -3.1725 1.3653
N B Cr Tc
2 1 1 1
Cartesian
-1.3908 0.3430 0.9682 N
0.0840 -1.5863 0.6827 N
-2.9214 -2.1835 -0.3354 B
0.0000 0.0000 0.0000 Cr
-1.6147 -0.9403 -1.9862 Tc
```

- Crystal system: tetragonal



B wins, 395 meV/atom ahead of the next structure.



A | Here is a relaxed structure of CrBTe2N from Alexandria via LeMat-Bulk. Energies are from PBE.

POSCAR file:
```
CrBTe2N
1.0
5.2292 0.0000 0.0000
0.0000 5.2292 0.0000
0.0000 0.0000 3.4989
Cr Te B N
1 2 1 1
Cartesian
0.0000 0.0000 0.0000 Cr
2.6146 0.0000 0.0000 Te
0.0000 2.6146 0.0000 Te
2.6146 2.6146 1.7494 B
0.0000 0.0000 1.7494 N
```

- Crystal system: tetragonal



B | Here is a relaxed structure of CrBTe2N from Alexandria via LeMat-Bulk. Energies are from PBE.

POSCAR file:
```
CrBTe2N
1.0
5.5343 0.0000 0.0000
0.0000 5.5343 0.0000
0.0000 0.0000 2.8044
Cr Te B N
1 2 1 1
Cartesian
2.7671 2.7671 1.4022 Cr
0.0000 2.7671 0.0000 Te
2.7671 0.0000 0.0000 Te
0.0000 0.0000 0.0000 B
0.0000 0.0000 1.4022 N
```

- Crystal system: tetragonal



B wins, 200 meV/atom ahead of the next structure.